[1]
A plane-wave DFT calculation with PBE-GGA was carried out for an optimized crystal structure of Ba2TlF.

```
Ba2TlF
1.0
0.000 4.138 4.138
4.138 0.000 4.138
4.138 4.138 0.000
Ba Tl F
2 1 1
Cartesian
2.069 2.069 2.069
6.206 6.206 6.206
0.000 0.000 0.000
4.138 4.138 4.138
```

Values from the calculation:
formation energy without anion corrections = -4.3 eV/f.u.
polymorph energy (0 for the lowest one) = 422 meV/atom
space group = Fm-3m, No. 225
ρ = 5.84 g/cm3

=====

[2]
A plane-wave DFT calculation with PBE-GGA was carried out for an optimized crystal structure of KSn2Au4.

```
KSn2Au4
1.0
9.046 0.000 0.000
0.000 9.046 0.000
0.000 0.000 4.060
K Sn Au
2 4 8
Cartesian
0.000 0.000 0.000
4.523 4.523 2.030
2.103 2.103 2.030
2.420 6.626 0.000
6.626 2.420 0.000
6.943 6.943 2.030
0.545 6.030 2.030
1.507 3.978 0.000
3.016 8.501 2.030
3.978 1.507 0.000
5.068 7.539 0.000
6.030 0.545 2.030
7.539 5.068 0.000
8.501 3.016 2.030
```

Values from the calculation:
polymorph energy (0 for the lowest one) = 82 meV/atom
space group = P4_2/mnm, No. 136
ρ = 10.64 g/cm3

=====

Look up the ρ of the second one. 10.64 g/cm3